1.
Compound: LaTb3Bi4
Source: the Alexandria database
Functional: GGA-PBE
Structure: relaxed

Lattice parameters (Å, degrees): 4.554 7.875 7.875 70.52 90.00 90.00
Fractional coordinates of all 8 atoms:
1 Bi 0.000 0.758 0.742
2 Bi 0.500 0.754 0.254
3 Bi 0.500 0.246 0.746
4 Bi 0.000 0.242 0.258
5 La 0.500 0.500 0.000
6 Tb 0.000 0.000 0.000
7 Tb 0.500 0.000 0.500
8 Tb 0.000 0.500 0.500

Summary:
Volume ... 33.28 Å³ per atom
DFT formation energy ... -0.917 eV per atom
Total magnetization ... 0.00 μB/cell


2.
Compound: LaTb5Bi4
Source: the Alexandria database
Functional: GGA-PBE
Structure: relaxed

Lattice parameters (Å, degrees): 4.466 7.888 11.642 119.90 101.06 90.00
Fractional coordinates of all 10 atoms:
1 Tb 0.805 0.220 0.610
2 Tb 0.188 0.290 0.376
3 Tb 0.812 0.710 0.624
4 Tb 0.500 0.500 0.000
5 Tb 0.195 0.780 0.390
6 Bi 0.362 0.053 0.724
7 Bi 0.638 0.947 0.276
8 Bi 0.064 0.357 0.129
9 Bi 0.936 0.643 0.871
10 La 0.500 0.000 0.000

Summary:
Volume ... 34.67 Å³ per atom
DFT formation energy ... -0.587 eV per atom
Total magnetization ... 2.26 μB/cell


3.
Compound: La3TbBi2
Source: the Alexandria database
Functional: GGA-PBE
Structure: relaxed

Lattice parameters (Å, degrees): 4.720 4.720 9.144 90.00 90.00 90.00
Fractional coordinates of all 6 atoms:
1 La 0.000 0.000 0.000
2 La 0.500 0.000 0.352
3 La 0.000 0.500 0.648
4 Bi 0.000 0.500 0.276
5 Bi 0.500 0.000 0.724
6 Tb 0.500 0.500 0.000

Summary:
Volume ... 33.96 Å³ per atom
DFT formation energy ... -0.690 eV per atom
Total magnetization ... 0.00 μB/cell


4.
Compound: La3TbBi4
Source: the Alexandria database
Functional: GGA-PBE
Structure: relaxed

Lattice parameters (Å, degrees): 4.660 8.058 8.058 109.49 90.00 90.00
Fractional coordinates of all 8 atoms:
1 La 0.000 0.000 0.500
2 La 0.000 0.500 0.000
3 La 0.500 0.500 0.500
4 Bi 0.500 0.754 0.246
5 Bi 0.000 0.758 0.758
6 Bi 0.000 0.242 0.242
7 Bi 0.500 0.246 0.754
8 Tb 0.500 0.000 0.000

Summary:
Volume ... 35.66 Å³ per atom
DFT formation energy ... -1.006 eV per atom
Total magnetization ... 0.00 μB/cell


5.
Compound: LaTb2Bi
Source: the Alexandria database
Functional: GGA-PBE
Structure: relaxed

Lattice parameters (Å, degrees): 4.093 4.093 10.065 78.27 78.27 60.00
Fractional coordinates of all 4 atoms:
1 Bi 0.666 0.666 0.001
2 Tb 0.068 0.068 0.796
3 Tb 0.265 0.265 0.205
4 La 0.501 0.501 0.498

Summary:
Volume ... 35.49 Å³ per atom
DFT formation energy ... -0.195 eV per atom
Energy above the most stable polymorph in this dataset ... 0.208 eV/atom
Total magnetization ... 0.15 μB/cell


6.
Compound: La5TbBi4
Source: the Alexandria database
Functional: GGA-PBE
Structure: relaxed

Lattice parameters (Å, degrees): 4.544 8.994 10.167 104.30 102.91 90.00
Fractional coordinates of all 10 atoms:
1 Bi 0.666 0.084 0.332
2 Bi 0.005 0.247 0.011
3 Bi 0.334 0.916 0.668
4 Bi 0.995 0.753 0.989
5 La 0.826 0.653 0.652
6 La 0.165 0.823 0.330
7 La 0.500 0.500 0.000
8 La 0.835 0.177 0.670
9 La 0.174 0.347 0.348
10 Tb 0.500 0.000 0.000

Summary:
Volume ... 39.18 Å³ per atom
DFT formation energy ... -0.637 eV per atom
Total magnetization ... 0.00 μB/cell


7.
Compound: La2TbBi3
Source: the Alexandria database
Functional: GGA-PBE
Structure: relaxed

Lattice parameters (Å, degrees): 8.030 8.030 14.666 100.50 100.50 109.53
Fractional coordinates of all 24 atoms:
1 La 0.999 0.499 0.998
2 La 0.418 0.418 0.835
3 La 0.251 0.251 0.502
4 La 0.668 0.168 0.335
5 La 0.749 0.749 0.498
6 La 0.501 0.001 0.002
7 La 0.832 0.332 0.665
8 La 0.582 0.582 0.165
9 Tb 0.166 0.666 0.333
10 Tb 0.084 0.084 0.167
11 Tb 0.334 0.834 0.667
12 Tb 0.916 0.916 0.833
13 Bi 0.084 0.076 0.670
14 Bi 0.166 0.674 0.830
15 Bi 0.759 0.759 0.000
16 Bi 0.585 0.593 0.670
17 Bi 0.924 0.916 0.330
18 Bi 0.407 0.415 0.330
19 Bi 0.326 0.834 0.170
20 Bi 0.241 0.241 0.000
21 Bi 0.843 0.335 0.170
22 Bi 0.665 0.157 0.830
23 Bi 0.491 0.991 0.500
24 Bi 0.009 0.509 0.500

Summary:
Volume ... 35.23 Å³ per atom
DFT formation energy ... -0.993 eV per atom
Energy above the most stable polymorph in this dataset ... 0.000 eV/atom
Total magnetization ... 0.00 μB/cell


8.
Compound: LaTb2Bi
Source: the Alexandria database
Functional: GGA-PBE
Structure: relaxed

Lattice parameters (Å, degrees): 4.073 4.073 7.545 90.00 90.00 90.00
Fractional coordinates of all 4 atoms:
1 La 0.500 0.500 0.000
2 Tb 0.000 0.000 0.719
3 Tb 0.000 0.000 0.281
4 Bi 0.500 0.500 0.500

Summary:
Volume ... 31.29 Å³ per atom
DFT formation energy ... -0.361 eV per atom
Energy above the most stable polymorph in this dataset ... 0.042 eV/atom
Total magnetization ... 0.00 μB/cell


9.
Compound: LaTb8Bi6
Source: the Alexandria database
Functional: GGA-PBE
Structure: relaxed

Lattice parameters (Å, degrees): 8.228 8.228 9.807 65.20 65.20 60.00
Fractional coordinates of all 15 atoms:
1 Bi 0.275 0.585 0.205
2 Bi 0.585 0.935 0.205
3 Bi 0.725 0.415 0.795
4 Bi 0.065 0.725 0.795
5 Bi 0.415 0.065 0.795
6 Bi 0.935 0.275 0.205
7 Tb 0.798 0.128 0.631
8 Tb 0.872 0.557 0.369
9 Tb 0.557 0.202 0.369
10 Tb 0.443 0.798 0.631
11 Tb 0.666 0.666 0.001
12 Tb 0.334 0.334 0.999
13 Tb 0.128 0.443 0.631
14 Tb 0.202 0.872 0.369
15 La 0.000 0.000 0.000

Summary:
Volume ... 33.53 Å³ per atom
DFT formation energy ... -0.547 eV per atom
Total magnetization ... 0.00 μB/cell


10.
Compound: La3TbBi4
Source: the Alexandria database
Functional: GGA-PBE
Structure: relaxed

Lattice parameters (Å, degrees): 8.062 8.056 9.320 90.00 90.00 109.51
Fractional coordinates of all 16 atoms:
1 La 0.250 0.000 0.626
2 La 0.250 0.500 0.876
3 La 0.250 0.500 0.374
4 La 0.750 0.500 0.626
5 La 0.750 0.500 0.124
6 La 0.750 0.000 0.374
7 Bi 0.000 0.758 0.879
8 Bi 0.996 0.246 0.629
9 Bi 0.000 0.242 0.121
10 Bi 0.496 0.246 0.371
11 Bi 0.004 0.754 0.371
12 Bi 0.500 0.758 0.121
13 Bi 0.504 0.754 0.629
14 Bi 0.500 0.242 0.879
15 Tb 0.750 0.000 0.876
16 Tb 0.250 0.000 0.124

Summary:
Volume ... 35.66 Å³ per atom
DFT formation energy ... -1.006 eV per atom
Total magnetization ... 0.00 μB/cell


11.
Compound: La2TbBi
Source: the Alexandria database
Functional: GGA-PBE
Structure: relaxed

Lattice parameters (Å, degrees): 3.618 3.618 12.752 81.84 81.84 60.00
Fractional coordinates of all 4 atoms:
1 Tb 0.500 0.500 0.500
2 La 0.088 0.088 0.737
3 La 0.912 0.912 0.263
4 Bi 0.000 0.000 0.000

Summary:
Volume ... 35.66 Å³ per atom
DFT formation energy ... 0.004 eV per atom
Energy above the most stable polymorph in this dataset ... 0.462 eV/atom
Total magnetization ... 0.00 μB/cell


12.
Compound: La5Tb3Bi8
Source: the Alexandria database
Functional: GGA-PBE
Structure: relaxed

Lattice parameters (Å, degrees): 9.259 9.259 9.251 59.97 59.97 60.00
Fractional coordinates of all 16 atoms:
1 Bi 0.754 0.754 0.739
2 Bi 0.250 0.250 0.742
3 Bi 0.750 0.242 0.258
4 Bi 0.246 0.246 0.261
5 Bi 0.242 0.750 0.258
6 Bi 0.750 0.750 0.258
7 Bi 0.758 0.250 0.742
8 Bi 0.250 0.758 0.742
9 La 0.000 0.000 0.000
10 La 0.500 0.500 0.000
11 La 0.500 0.500 0.500
12 La 0.500 0.000 0.000
13 La 0.000 0.500 0.000
14 Tb 0.500 0.000 0.500
15 Tb 0.000 0.000 0.500
16 Tb 0.000 0.500 0.500

Summary:
Volume ... 35.04 Å³ per atom
DFT formation energy ... -0.984 eV per atom
Total magnetization ... 0.00 μB/cell